(1)
HoTmNO: relaxed, GGA-PBE.

```
HoTmNO
1.0
3.500 -1.323 1.162
0.640 3.973 2.596
-2.918 -3.024 5.348
N Tm Ho O
2 2 2 2
direct
0.000 0.439 0.662 N
0.000 0.939 0.338 N
0.000 0.939 0.667 Tm
0.000 0.439 0.333 Tm
0.500 0.438 0.836 Ho
0.500 0.938 0.164 Ho
0.500 0.438 0.180 O
0.500 0.938 0.820 O
```

Properties
- raw total energy (eV/atom) = -7.86
- SG = Pmma
- total moment (μB/atom) = 0.00
- relative energy among the computed polymorphs (meV per atom) = 92


(2)
HoTmNO: relaxed, GGA-PBE.

```
HoTmNO
1.0
4.339 0.000 0.000
0.000 4.339 0.000
0.000 0.000 7.788
O Ho N Tm
2 2 2 2
direct
0.250 0.750 0.000 O
0.750 0.250 0.000 O
0.750 0.750 0.906 Ho
0.250 0.250 0.094 Ho
0.750 0.750 0.422 N
0.250 0.250 0.578 N
0.250 0.750 0.500 Tm
0.750 0.250 0.500 Tm
```

Properties
- raw total energy (eV/atom) = -7.44
- SG = P4/nmm
- total moment (μB/atom) = 0.00
- relative energy among the computed polymorphs (meV per atom) = 502